Entry 1:
The following is a GGA-PBE calculation of a geometry-optimized Na3CuSb2S6 structure, from Alexandria via LeMat-Bulk.

## Properties
SG   C2/m (12)

Cell lengths 6.564, 6.564, 7.137 Å; angles 99.52, 99.52, 118.79 degrees
Fractional positions:
Na 0.000 0.000 0.000
Na 0.326 0.674 0.000
Na 0.674 0.326 0.000
Cu 0.500 0.500 0.500
Sb 0.164 0.836 0.500
Sb 0.836 0.164 0.500
S 0.117 0.430 0.289
S 0.241 0.241 0.736
S 0.430 0.117 0.289
S 0.570 0.883 0.711
S 0.759 0.759 0.264
S 0.883 0.570 0.711

***

Entry 2:
The following is a GGA-PBE calculation of a geometry-optimized Na2CuSbS4 structure, from Alexandria via LeMat-Bulk.

## Properties
SG   I-42m (121)

Cell lengths 6.105, 6.105, 6.105 Å; angles 105.53, 105.53, 117.68 degrees
Fractional positions:
Na 0.000 0.500 0.500
Na 0.500 0.000 0.500
Cu 0.000 0.000 0.000
Sb 0.500 0.500 0.000
S 0.080 0.080 0.654
S 0.425 0.425 0.346
S 0.575 0.920 0.000
S 0.920 0.575 0.000

***

Energy relative to the elements, uncorrected for the records above, in order: -51.0, -47.4 kJ per mole of atoms